[1]
Computed, not measured: Pu2TlSe after structural relaxation at the PBE level of DFT.

The structure in extended XYZ format:
```
4
Lattice="-2.799 1.710 -1.096 -1.731 -2.984 -0.235 -2.580 0.870 7.947" Properties=species:S:1:pos:R:3 pbc="T T T"
Tl -3.555 -0.202 3.308
Se -2.265 -0.637 -0.665
Pu -2.019 0.681 6.221
Pu -0.560 0.189 1.726
```

Calculated values
The value obtained for the total magnetization is 11.65 μB per cell. The formation energy without anion corrections is -0.638 eV/atom.


[2]
Computed, not measured: LaGeRu2Cl after structural relaxation at the PBE level of DFT.

The structure in extended XYZ format:
```
5
Lattice="-0.461 -3.568 3.228 3.960 -3.469 -3.269 3.689 1.820 2.538" Properties=species:S:1:pos:R:3 pbc="T T T"
Ru 1.844 0.910 1.269
Ru -0.230 -1.784 1.614
Ge 1.980 -1.734 -1.634
Cl 3.594 -2.608 1.249
La 0.000 0.000 0.000
```

Calculated values
The value obtained for the total magnetization is 1.68 μB per cell. The formation energy without anion corrections is 1.448 eV/atom.